BaLi4: relaxed, GGA-PBEsol.

Lattice parameters (Å, degrees): 10.627 10.627 8.801 90.00 90.00 120.00
Fractional coordinates of all 30 atoms:
Ba 0.058 0.529 0.250
Ba 0.471 0.529 0.250
Ba 0.471 0.942 0.250
Ba 0.529 0.058 0.750
Ba 0.529 0.471 0.750
Ba 0.942 0.471 0.750
Li 0.000 0.000 0.000
Li 0.000 0.000 0.500
Li 0.100 0.200 0.250
Li 0.100 0.900 0.250
Li 0.164 0.328 0.567
Li 0.164 0.328 0.933
Li 0.164 0.836 0.567
Li 0.164 0.836 0.933
Li 0.200 0.100 0.750
Li 0.328 0.164 0.067
Li 0.328 0.164 0.433
Li 0.333 0.667 0.586
Li 0.333 0.667 0.914
Li 0.667 0.333 0.086
Li 0.667 0.333 0.414
Li 0.672 0.836 0.567
Li 0.672 0.836 0.933
Li 0.800 0.900 0.250
Li 0.836 0.164 0.067
Li 0.836 0.164 0.433
Li 0.836 0.672 0.067
Li 0.836 0.672 0.433
Li 0.900 0.100 0.750
Li 0.900 0.800 0.750

Summary:
Energy of formation from the pure elements in kJ per mole of atoms: 1
Space group: P6_3/mmc (194)
Energy above the most stable polymorph in this dataset in meV/atom: 0.0

=====

EuPt2: relaxed, GGA-PBEsol.

Lattice parameters (Å, degrees): 5.417 5.417 5.417 60.00 60.00 60.00
Fractional coordinates of all 6 atoms:
Eu 0.125 0.125 0.125
Eu 0.875 0.875 0.875
Pt 0.000 0.500 0.500
Pt 0.500 0.000 0.500
Pt 0.500 0.500 0.000
Pt 0.500 0.500 0.500

Summary:
Energy of formation from the pure elements in kJ per mole of atoms: -94
Space group: Fd-3m (227)

=====

V3NiO6: relaxed, GGA-PBEsol.

Lattice parameters (Å, degrees): 5.426 5.426 5.426 53.18 53.18 53.18
Fractional coordinates of all 10 atoms:
V 0.000 0.000 0.000
V 0.193 0.193 0.193
V 0.695 0.695 0.695
Ni 0.496 0.496 0.496
O 0.080 0.417 0.797
O 0.279 0.932 0.598
O 0.417 0.797 0.080
O 0.598 0.279 0.932
O 0.797 0.080 0.417
O 0.932 0.598 0.279

Summary:
Formation energy without anion corrections in eV per atom: -2.034
Space group: R3 (146)

=====

SrZn2Mo: relaxed, GGA-PBEsol.

Lattice parameters (Å, degrees): 5.115 2.806 5.591 90.00 108.64 90.00
Fractional coordinates of all 4 atoms:
Sr 0.000 0.000 0.000
Zn 0.000 0.000 0.500
Zn 0.500 0.500 0.000
Mo 0.500 0.500 0.500

Summary:
Energy of formation from the pure elements in kJ per mole of atoms: 62
Space group: P2/m (10)
Energy above the most stable polymorph in this dataset in meV/atom: 334.2